# 1
Density functional theory data (PBE) for a geometry-optimized PtRhPbO4 structure.

```
PtRhPbO4
1.0
-3.172 3.591 4.354
3.172 -3.591 4.354
3.172 3.591 -4.354
Pt Rh Pb O
2 2 2 8
Direct
0.000 0.000 0.000
0.500 0.000 0.500
0.500 0.000 0.000
0.500 0.500 0.500
0.103 0.353 0.750
0.897 0.647 0.250
0.262 0.215 0.454
0.262 0.808 0.046
0.296 0.232 0.063
0.331 0.768 0.563
0.669 0.232 0.437
0.704 0.768 0.937
0.738 0.192 0.954
0.738 0.785 0.546
```

Results
* VASP energy: -5.886 eV per atom
* total magnetization: 0.00 μB per formula unit
* crystal system: orthorhombic

# 2
Density functional theory data (PBE) for a geometry-optimized RuPtPbO6 structure.

```
RuPtPbO6
1.0
-3.462 3.609 5.035
3.462 -3.609 5.035
3.462 3.609 -5.035
Ru Pt Pb O
2 2 2 12
Direct
0.000 0.000 0.000
0.500 0.000 0.500
0.500 0.000 0.000
0.500 0.500 0.500
0.162 0.412 0.750
0.838 0.588 0.250
0.161 0.333 0.233
0.161 0.928 0.829
0.213 0.963 0.250
0.396 0.646 0.750
0.401 0.072 0.733
0.401 0.667 0.329
0.599 0.333 0.671
0.599 0.928 0.267
0.604 0.354 0.250
0.787 0.037 0.750
0.839 0.072 0.171
0.839 0.667 0.767
```

Results
* VASP energy: -6.106 eV per atom
* total magnetization: 0.00 μB per formula unit
* crystal system: orthorhombic

# 3
Density functional theory data (PBE) for a geometry-optimized Ru2PtPbO8 structure.

```
Ru2PtPbO8
1.0
5.291 0.000 0.000
-2.646 4.582 0.000
0.000 0.000 7.353
Ru Pt Pb O
2 1 1 8
Direct
0.333 0.667 0.233
0.667 0.333 0.767
0.000 0.000 0.000
0.000 0.000 0.500
0.019 0.305 0.182
0.286 0.981 0.182
0.305 0.286 0.818
0.333 0.667 0.477
0.667 0.333 0.523
0.695 0.714 0.182
0.714 0.019 0.818
0.981 0.695 0.818
```

Results
* VASP energy: -6.285 eV per atom
* total magnetization: 1.57 μB per formula unit
* crystal system: trigonal